1.
# AlH4Se2O8 | the Alexandria database | GGA-PBEsol | relaxed
# - SG = No. 14
# - N(E_F) (states/eV per cell) = 8.71
# - magnetization (μB/f.u.) = 0.96
data_AlH4Se2O8
_cell_length_a 7.0797
_cell_length_b 6.4478
_cell_length_c 9.0219
_cell_angle_alpha 90.00
_cell_angle_beta 126.40
_cell_angle_gamma 90.00
_symmetry_space_group_name_H-M 'P 1'
_symmetry_Int_Tables_number 1
_symmetry_space_group_name_Hall 'P 1'
loop_
_atom_site_label
_atom_site_fract_x
_atom_site_fract_y
_atom_site_fract_z
Al1 0.0000 0.0000 0.0000
Al2 0.0000 0.5000 0.5000
H1 0.3221 0.2267 0.0454
H2 0.3221 0.2733 0.5454
H3 0.3296 0.2416 0.2308
H4 0.3296 0.2584 0.7308
H5 0.6704 0.7416 0.2692
H6 0.6704 0.7584 0.7692
H7 0.6779 0.7267 0.4546
H8 0.6779 0.7733 0.9546
Se1 0.2518 0.6896 0.8944
Se2 0.2518 0.8104 0.3944
Se3 0.7482 0.1896 0.6056
Se4 0.7482 0.3104 0.1056
O1 0.0916 0.5887 0.3529
O2 0.0916 0.9113 0.8529
O3 0.2239 0.2217 0.0928
O4 0.2239 0.2783 0.5928
O5 0.2290 0.6730 0.6957
O6 0.2290 0.8270 0.1957
O7 0.4622 0.2434 0.9527
O8 0.4622 0.2566 0.4527
O9 0.5378 0.7434 0.5473
O10 0.5378 0.7566 0.0473
O11 0.7710 0.1730 0.8043
O12 0.7710 0.3270 0.3043
O13 0.7761 0.7217 0.4072
O14 0.7761 0.7783 0.9072
O15 0.9084 0.0887 0.1471
O16 0.9084 0.4113 0.6471


2.
# AlH5Se2O8 | the Alexandria database | GGA-PBEsol | relaxed
# - SG = No. 14
# - N(E_F) (states/eV per cell) = 0.00
# - magnetization (μB/f.u.) = 0.00
data_AlH5Se2O8
_cell_length_a 7.2949
_cell_length_b 6.5878
_cell_length_c 8.7598
_cell_angle_alpha 90.00
_cell_angle_beta 126.79
_cell_angle_gamma 90.00
_symmetry_space_group_name_H-M 'P 1'
_symmetry_Int_Tables_number 1
_symmetry_space_group_name_Hall 'P 1'
loop_
_atom_site_label
_atom_site_fract_x
_atom_site_fract_y
_atom_site_fract_z
Al1 0.0000 0.0000 0.0000
Al2 0.0000 0.5000 0.5000
H1 0.3159 0.2401 0.5899
H2 0.3159 0.2599 0.0899
H3 0.3189 0.2171 0.2745
H4 0.3189 0.2829 0.7745
H5 0.5000 0.0000 0.5000
H6 0.5000 0.5000 0.0000
H7 0.6811 0.7171 0.2255
H8 0.6811 0.7829 0.7255
H9 0.6841 0.7401 0.9101
H10 0.6841 0.7599 0.4101
Se1 0.2529 0.6987 0.3452
Se2 0.2529 0.8013 0.8452
Se3 0.7471 0.1987 0.1548
Se4 0.7471 0.3013 0.6548
O1 0.0772 0.5956 0.7326
O2 0.0772 0.9044 0.2326
O3 0.2190 0.2202 0.1317
O4 0.2190 0.2798 0.6317
O5 0.2302 0.6637 0.5262
O6 0.2302 0.8362 0.0262
O7 0.4767 0.1798 0.5167
O8 0.4767 0.3202 0.0167
O9 0.5233 0.6798 0.9833
O10 0.5233 0.8202 0.4833
O11 0.7698 0.1638 0.9738
O12 0.7698 0.3362 0.4738
O13 0.7810 0.7202 0.3683
O14 0.7810 0.7798 0.8683
O15 0.9228 0.0956 0.7674
O16 0.9228 0.4044 0.2674


3.
# AlSi2HO | the Alexandria database | GGA-PBEsol | relaxed
# - SG = No. 123
# - N(E_F) (states/eV per cell) = 1.18
# - magnetization (μB/f.u.) = 0.00
data_AlSi2HO
_cell_length_a 3.4538
_cell_length_b 3.4538
_cell_length_c 4.5934
_cell_angle_alpha 90.00
_cell_angle_beta 90.00
_cell_angle_gamma 90.00
_symmetry_space_group_name_H-M 'P 1'
_symmetry_Int_Tables_number 1
_symmetry_space_group_name_Hall 'P 1'
loop_
_atom_site_label
_atom_site_fract_x
_atom_site_fract_y
_atom_site_fract_z
Al1 0.0000 0.0000 0.0000
Si1 0.0000 0.5000 0.5000
Si2 0.5000 0.0000 0.5000
H1 0.5000 0.5000 0.5000
O1 0.5000 0.5000 0.0000


4.
# Al2Si2H4O9 | the Alexandria database | GGA-PBEsol | relaxed
# - SG = No. 9
# - ΔE to the lowest computed polymorph (meV per atom) = 3
# - N(E_F) (states/eV per cell) = 0.00
# - magnetization (μB/f.u.) = 0.00
data_Al2Si2H4O9
_cell_length_a 5.1669
_cell_length_b 5.1669
_cell_length_c 14.2073
_cell_angle_alpha 90.00
_cell_angle_beta 90.00
_cell_angle_gamma 119.83
_symmetry_space_group_name_H-M 'P 1'
_symmetry_Int_Tables_number 1
_symmetry_space_group_name_Hall 'P 1'
loop_
_atom_site_label
_atom_site_fract_x
_atom_site_fract_y
_atom_site_fract_z
Al1 0.0185 0.9815 0.5000
Al2 0.3602 0.6506 0.4987
Al3 0.6506 0.3602 0.9987
Al4 0.9815 0.0185 0.0000
Si1 0.0336 0.6846 0.6925
Si2 0.3430 0.3483 0.1926
Si3 0.3483 0.3430 0.6926
Si4 0.6846 0.0336 0.1925
H1 0.0450 0.2991 0.3657
H2 0.1242 0.6862 0.0800
H3 0.2991 0.0450 0.8657
H4 0.3630 0.9940 0.3689
H5 0.5176 0.6987 0.9078
H6 0.6862 0.1242 0.5800
H7 0.6987 0.5176 0.4078
H8 0.9940 0.3630 0.8689
O1 0.0125 0.1665 0.2413
O2 0.0668 0.3160 0.4344
O3 0.0765 0.7072 0.5795
O4 0.1665 0.0125 0.7413
O5 0.2158 0.5373 0.7429
O6 0.3032 0.3218 0.5797
O7 0.3082 0.9364 0.4345
O8 0.3160 0.0668 0.9344
O9 0.3218 0.3032 0.0797
O10 0.4739 0.6910 0.2246
O11 0.5373 0.2158 0.2429
O12 0.6884 0.9367 0.5747
O13 0.6893 0.6911 0.9327
O14 0.6910 0.4739 0.7246
O15 0.6911 0.6893 0.4327
O16 0.7072 0.0765 0.0795
O17 0.9364 0.3082 0.9345
O18 0.9367 0.6884 0.0747


5.
# Al2Si2H4O9 | the Alexandria database | GGA-PBEsol | relaxed
# - SG = No. 1
# - ΔE to the lowest computed polymorph (meV per atom) = 0
# - N(E_F) (states/eV per cell) = 0.00
# - magnetization (μB/f.u.) = 0.00
data_Al2Si2H4O9
_cell_length_a 5.1676
_cell_length_b 5.1682
_cell_length_c 7.3230
_cell_angle_alpha 84.15
_cell_angle_beta 75.01
_cell_angle_gamma 60.25
_symmetry_space_group_name_H-M 'P 1'
_symmetry_Int_Tables_number 1
_symmetry_space_group_name_Hall 'P 1'
loop_
_atom_site_label
_atom_site_fract_x
_atom_site_fract_y
_atom_site_fract_z
Al1 0.0000 0.0000 0.0000
Al2 0.3280 0.3279 0.0033
Si1 0.5407 0.3116 0.3918
Si2 0.8831 0.6547 0.3901
H1 0.0730 0.3555 0.7428
H2 0.4113 0.8628 0.1542
H3 0.4394 0.6436 0.7413
H4 0.7514 0.9862 0.7421
O1 0.1019 0.2734 0.8666
O2 0.1714 0.4535 0.4879
O3 0.2218 0.0518 0.1561
O4 0.3301 0.6553 0.8732
O5 0.6086 0.2829 0.1651
O6 0.6387 0.5316 0.4650
O7 0.7105 0.9890 0.4886
O8 0.7145 0.0436 0.8734
O9 0.9886 0.6637 0.1637


6.
# Al2Si2H4O9 | the Alexandria database | GGA-PBEsol | relaxed
# - SG = No. 8
# - ΔE to the lowest computed polymorph (meV per atom) = 2
# - N(E_F) (states/eV per cell) = 0.00
# - magnetization (μB/f.u.) = 0.00
data_Al2Si2H4O9
_cell_length_a 5.1697
_cell_length_b 5.1697
_cell_length_c 7.1877
_cell_angle_alpha 91.85
_cell_angle_beta 91.85
_cell_angle_gamma 120.08
_symmetry_space_group_name_H-M 'P 1'
_symmetry_Int_Tables_number 1
_symmetry_space_group_name_Hall 'P 1'
loop_
_atom_site_label
_atom_site_fract_x
_atom_site_fract_y
_atom_site_fract_z
Al1 0.1641 0.8359 0.0000
Al2 0.8359 0.1641 0.0000
Si1 0.4942 0.8353 0.6159
Si2 0.8353 0.4942 0.6159
H1 0.1444 0.5295 0.2664
H2 0.3070 0.3070 0.8549
H3 0.5295 0.1444 0.2664
H4 0.7048 0.7048 0.1731
O1 0.1174 0.1174 0.8541
O2 0.1333 0.5132 0.1294
O3 0.1565 0.6305 0.5196
O4 0.4917 0.8716 0.8402
O5 0.5132 0.1333 0.1294
O6 0.6305 0.1565 0.5196
O7 0.6775 0.6775 0.5449
O8 0.8716 0.4917 0.8402
O9 0.8811 0.8811 0.1318


7.
# Al3Si2H3O10 | the Alexandria database | GGA-PBEsol | relaxed
# - SG = No. 2
# - N(E_F) (states/eV per cell) = 0.00
# - magnetization (μB/f.u.) = 0.00
data_Al3Si2H3O10
_cell_length_a 6.1099
_cell_length_b 7.2630
_cell_length_c 7.7260
_cell_angle_alpha 64.84
_cell_angle_beta 88.36
_cell_angle_gamma 86.82
_symmetry_space_group_name_H-M 'P 1'
_symmetry_Int_Tables_number 1
_symmetry_space_group_name_Hall 'P 1'
loop_
_atom_site_label
_atom_site_fract_x
_atom_site_fract_y
_atom_site_fract_z
Al1 0.1468 0.1520 0.3957
Al2 0.2826 0.2521 0.0084
Al3 0.3520 0.3484 0.6070
Al4 0.6480 0.6516 0.3930
Al5 0.7174 0.7479 0.9916
Al6 0.8532 0.8480 0.6043
Si1 0.1419 0.7769 0.2941
Si2 0.3647 0.7269 0.7091
Si3 0.6353 0.2731 0.2909
Si4 0.8581 0.2231 0.7059
H1 0.1085 0.5060 0.1314
H2 0.2108 0.7616 0.0117
H3 0.3824 0.9924 0.8681
H4 0.6176 0.0076 0.1319
H5 0.7892 0.2384 0.9883
H6 0.8915 0.4940 0.8686
O1 0.0722 0.2831 0.5636
O2 0.0757 0.7498 0.0982
O3 0.1401 0.3623 0.1542
O4 0.1578 0.8885 0.6018
O5 0.2108 0.0117 0.2304
O6 0.2972 0.4896 0.7740
O7 0.3428 0.6099 0.4000
O8 0.3592 0.1376 0.8469
O9 0.4259 0.2159 0.4410
O10 0.4305 0.7573 0.8999
O11 0.5695 0.2427 0.1001
O12 0.5741 0.7841 0.5590
O13 0.6408 0.8624 0.1531
O14 0.6572 0.3901 0.6000
O15 0.7028 0.5104 0.2260
O16 0.7892 0.9883 0.7696
O17 0.8422 0.1115 0.3982
O18 0.8599 0.6377 0.8458
O19 0.9243 0.2502 0.9018
O20 0.9278 0.7169 0.4364


8.
# Sr2Al3Si3HO13 | the Alexandria database | GGA-PBEsol | relaxed
# - SG = No. 62
# - N(E_F) (states/eV per cell) = 0.00
# - magnetization (μB/f.u.) = 0.02
data_Sr2Al3Si3HO13
_cell_length_a 16.4424
_cell_length_b 5.5921
_cell_length_c 10.2120
_cell_angle_alpha 90.00
_cell_angle_beta 90.00
_cell_angle_gamma 90.00
_symmetry_space_group_name_H-M 'P 1'
_symmetry_Int_Tables_number 1
_symmetry_space_group_name_Hall 'P 1'
loop_
_atom_site_label
_atom_site_fract_x
_atom_site_fract_y
_atom_site_fract_z
Sr1 0.0427 0.2500 0.1098
Sr2 0.1319 0.2500 0.4406
Sr3 0.3681 0.7500 0.9406
Sr4 0.4573 0.7500 0.6098
Sr5 0.5427 0.2500 0.3902
Sr6 0.6319 0.2500 0.0594
Sr7 0.8681 0.7500 0.5594
Sr8 0.9573 0.7500 0.8902
Al1 0.1105 0.2500 0.7968
Al2 0.2467 0.5037 0.1894
Al3 0.2467 0.9963 0.1894
Al4 0.2533 0.0037 0.6894
Al5 0.2533 0.4963 0.6894
Al6 0.3895 0.7500 0.2968
Al7 0.6105 0.2500 0.7032
Al8 0.7467 0.5037 0.3106
Al9 0.7467 0.9963 0.3106
Al10 0.7533 0.0037 0.8106
Al11 0.7533 0.4963 0.8106
Al12 0.8895 0.7500 0.2032
Si1 0.0871 0.7500 0.6083
Si2 0.0876 0.7500 0.2833
Si3 0.1632 0.7500 0.9308
Si4 0.3368 0.2500 0.4308
Si5 0.4124 0.2500 0.7833
Si6 0.4129 0.2500 0.1083
Si7 0.5871 0.7500 0.8917
Si8 0.5876 0.7500 0.2167
Si9 0.6632 0.7500 0.5692
Si10 0.8368 0.2500 0.0692
Si11 0.9124 0.2500 0.7167
Si12 0.9129 0.2500 0.3917
H1 0.2300 0.2500 0.9773
H2 0.2700 0.7500 0.4773
H3 0.7300 0.2500 0.5227
H4 0.7700 0.7500 0.0227
O1 0.0008 0.2500 0.7849
O2 0.0033 0.2500 0.3382
O3 0.0866 0.7500 0.4456
O4 0.1048 0.5127 0.9229
O5 0.1048 0.9873 0.9229
O6 0.1349 0.0006 0.6510
O7 0.1349 0.4994 0.6510
O8 0.1380 0.5116 0.2396
O9 0.1380 0.9884 0.2396
O10 0.2229 0.2500 0.8004
O11 0.2261 0.7500 0.0599
O12 0.2311 0.2500 0.0752
O13 0.2323 0.7500 0.8112
O14 0.2677 0.2500 0.3112
O15 0.2689 0.7500 0.5752
O16 0.2739 0.2500 0.5599
O17 0.2771 0.7500 0.3004
O18 0.3620 0.0116 0.7396
O19 0.3620 0.4884 0.7396
O20 0.3651 0.5006 0.1510
O21 0.3651 0.9994 0.1510
O22 0.3952 0.0127 0.4229
O23 0.3952 0.4873 0.4229
O24 0.4134 0.2500 0.9456
O25 0.4967 0.7500 0.8382
O26 0.4992 0.7500 0.2849
O27 0.5008 0.2500 0.7151
O28 0.5033 0.2500 0.1618
O29 0.5866 0.7500 0.0544
O30 0.6048 0.5127 0.5771
O31 0.6048 0.9873 0.5771
O32 0.6349 0.0006 0.8490
O33 0.6349 0.4994 0.8490
O34 0.6380 0.5116 0.2604
O35 0.6380 0.9884 0.2604
O36 0.7229 0.2500 0.6996
O37 0.7261 0.7500 0.4401
O38 0.7311 0.2500 0.4248
O39 0.7323 0.7500 0.6888
O40 0.7677 0.2500 0.1888
O41 0.7689 0.7500 0.9248
O42 0.7739 0.2500 0.9401
O43 0.7771 0.7500 0.1996
O44 0.8620 0.0116 0.7604
O45 0.8620 0.4884 0.7604
O46 0.8651 0.5006 0.3490
O47 0.8651 0.9994 0.3490
O48 0.8952 0.0127 0.0771
O49 0.8952 0.4873 0.0771
O50 0.9134 0.2500 0.5544
O51 0.9967 0.7500 0.6618
O52 0.9992 0.7500 0.2151


9.
# AlP3H | the Alexandria database | GGA-PBEsol | relaxed
# - SG = No. 221
# - N(E_F) (states/eV per cell) = 2.39
# - magnetization (μB/f.u.) = 0.00
data_AlP3H
_cell_length_a 3.9501
_cell_length_b 3.9501
_cell_length_c 3.9501
_cell_angle_alpha 90.00
_cell_angle_beta 90.00
_cell_angle_gamma 90.00
_symmetry_space_group_name_H-M 'P 1'
_symmetry_Int_Tables_number 1
_symmetry_space_group_name_Hall 'P 1'
loop_
_atom_site_label
_atom_site_fract_x
_atom_site_fract_y
_atom_site_fract_z
Al1 0.0000 0.0000 0.0000
P1 0.0000 0.5000 0.5000
P2 0.5000 0.0000 0.5000
P3 0.5000 0.5000 0.0000
H1 0.5000 0.5000 0.5000


10.
# AlPH2 | the Alexandria database | GGA-PBEsol | relaxed
# - SG = No. 122
# - N(E_F) (states/eV per cell) = 1.98
# - magnetization (μB/f.u.) = 0.00
data_AlPH2
_cell_length_a 7.0353
_cell_length_b 7.0353
_cell_length_c 7.0353
_cell_angle_alpha 151.68
_cell_angle_beta 151.68
_cell_angle_gamma 40.49
_symmetry_space_group_name_H-M 'P 1'
_symmetry_Int_Tables_number 1
_symmetry_space_group_name_Hall 'P 1'
loop_
_atom_site_label
_atom_site_fract_x
_atom_site_fract_y
_atom_site_fract_z
Al1 0.0000 0.0000 0.0000
Al2 0.7500 0.2500 0.5000
P1 0.2500 0.7500 0.5000
P2 0.5000 0.5000 0.0000
H1 0.1182 0.6250 0.9932
H2 0.3750 0.3682 0.4932
H3 0.6318 0.1250 0.0068
H4 0.8750 0.8818 0.5068


11.
# Al3HPb | the Alexandria database | GGA-PBEsol | relaxed
# - SG = No. 221
# - N(E_F) (states/eV per cell) = 2.02
# - magnetization (μB/f.u.) = 0.00
data_Al3HPb
_cell_length_a 4.3799
_cell_length_b 4.3799
_cell_length_c 4.3799
_cell_angle_alpha 90.00
_cell_angle_beta 90.00
_cell_angle_gamma 90.00
_symmetry_space_group_name_H-M 'P 1'
_symmetry_Int_Tables_number 1
_symmetry_space_group_name_Hall 'P 1'
loop_
_atom_site_label
_atom_site_fract_x
_atom_site_fract_y
_atom_site_fract_z
Al1 0.0000 0.0000 0.5000
Al2 0.0000 0.5000 0.0000
Al3 0.5000 0.0000 0.0000
H1 0.0000 0.0000 0.0000
Pb1 0.5000 0.5000 0.5000


12.
# Al2HPd | the Alexandria database | GGA-PBEsol | relaxed
# - SG = No. 225
# - N(E_F) (states/eV per cell) = 1.45
# - magnetization (μB/f.u.) = 0.00
data_Al2HPd
_cell_length_a 4.1699
_cell_length_b 4.1699
_cell_length_c 4.1699
_cell_angle_alpha 60.00
_cell_angle_beta 60.00
_cell_angle_gamma 60.00
_symmetry_space_group_name_H-M 'P 1'
_symmetry_Int_Tables_number 1
_symmetry_space_group_name_Hall 'P 1'
loop_
_atom_site_label
_atom_site_fract_x
_atom_site_fract_y
_atom_site_fract_z
Al1 0.2500 0.2500 0.2500
Al2 0.7500 0.7500 0.7500
H1 0.0000 0.0000 0.0000
Pd1 0.5000 0.5000 0.5000


13.
# AlH2Pd2 | the Alexandria database | GGA-PBEsol | relaxed
# - SG = No. 127
# - N(E_F) (states/eV per cell) = 1.64
# - magnetization (μB/f.u.) = 0.00
data_AlH2Pd2
_cell_length_a 5.4680
_cell_length_b 5.4680
_cell_length_c 3.4581
_cell_angle_alpha 90.00
_cell_angle_beta 90.00
_cell_angle_gamma 90.00
_symmetry_space_group_name_H-M 'P 1'
_symmetry_Int_Tables_number 1
_symmetry_space_group_name_Hall 'P 1'
loop_
_atom_site_label
_atom_site_fract_x
_atom_site_fract_y
_atom_site_fract_z
Al1 0.0000 0.0000 0.0000
Al2 0.5000 0.5000 0.0000
H1 0.1495 0.3505 0.0000
H2 0.3505 0.8505 0.0000
H3 0.6495 0.1495 0.0000
H4 0.8505 0.6495 0.0000
Pd1 0.1796 0.3204 0.5000
Pd2 0.3204 0.8204 0.5000
Pd3 0.6796 0.1796 0.5000
Pd4 0.8204 0.6796 0.5000


14.
# AlHPt2 | the Alexandria database | GGA-PBEsol | relaxed
# - SG = No. 122
# - N(E_F) (states/eV per cell) = 0.93
# - magnetization (μB/f.u.) = 0.00
data_AlHPt2
_cell_length_a 5.0010
_cell_length_b 5.0010
_cell_length_c 5.0010
_cell_angle_alpha 106.28
_cell_angle_beta 106.28
_cell_angle_gamma 116.07
_symmetry_space_group_name_H-M 'P 1'
_symmetry_Int_Tables_number 1
_symmetry_space_group_name_Hall 'P 1'
loop_
_atom_site_label
_atom_site_fract_x
_atom_site_fract_y
_atom_site_fract_z
Al1 0.0000 0.0000 0.0000
Al2 0.7500 0.2500 0.5000
H1 0.2500 0.7500 0.5000
H2 0.5000 0.5000 0.0000
Pt1 0.2161 0.1250 0.5911
Pt2 0.3750 0.7839 0.9089
Pt3 0.5339 0.6250 0.4089
Pt4 0.8750 0.4661 0.0911


15.
# AlH2Pt2 | the Alexandria database | GGA-PBEsol | relaxed
# - SG = No. 139
# - N(E_F) (states/eV per cell) = 0.73
# - magnetization (μB/f.u.) = 0.00
data_AlH2Pt2
_cell_length_a 5.4736
_cell_length_b 5.4736
_cell_length_c 5.4736
_cell_angle_alpha 146.05
_cell_angle_beta 146.05
_cell_angle_gamma 48.77
_symmetry_space_group_name_H-M 'P 1'
_symmetry_Int_Tables_number 1
_symmetry_space_group_name_Hall 'P 1'
loop_
_atom_site_label
_atom_site_fract_x
_atom_site_fract_y
_atom_site_fract_z
Al1 0.0000 0.0000 0.0000
H1 0.2500 0.7500 0.5000
H2 0.7500 0.2500 0.5000
Pt1 0.3619 0.3619 0.0000
Pt2 0.6381 0.6381 0.0000


| no. | total DFT energy (no corrections) (eV/atom) |
| --- | --- |
| 1 | -5.663 |
| 2 | -5.679 |
| 3 | -4.660 |
| 4 | -6.985 |
| 5 | -6.988 |
| 6 | -6.986 |
| 7 | -7.284 |
| 8 | -7.675 |
| 9 | -4.386 |
| 10 | -3.756 |
| 11 | -3.600 |
| 12 | -4.427 |
| 13 | -4.819 |
| 14 | -5.805 |
| 15 | -5.198 |